Computed, not measured: Tm2Cd5Cu after structural relaxation at the PBE level of DFT.

Cell and atoms, written as CIF:
```
data_Tm2Cd5Cu
_cell_length_a 4.6747
_cell_length_b 4.6747
_cell_length_c 31.0459
_cell_angle_alpha 90.00
_cell_angle_beta 90.00
_cell_angle_gamma 120.00
_space_group_name_H-M_alt 'R -3 m'
_space_group_IT_number 166
_space_group_name_Hall '-R 3 2"'
loop_
_atom_site_label
_atom_site_type_symbol
_atom_site_fract_x
_atom_site_fract_y
_atom_site_fract_z
Tm1 Tm 0.0000 0.0000 0.0874
Cd1 Cd 0.0000 0.0000 0.1988
Cd2 Cd 0.0000 0.0000 0.3566
Cd3 Cd 0.0000 0.0000 0.5000
Cu1 Cu 0.0000 0.0000 0.0000
```

- calculated volume (Å³ per cell) = 587.5
- ΔE_f (eV per atom) = -0.023
- crystal system = trigonal


Computed, not measured: Ce6Ga2Au after structural relaxation at the PBE level of DFT.

Cell and atoms, written as CIF:
```
data_Ce6Ga2Au
_cell_length_a 8.8361
_cell_length_b 8.8361
_cell_length_c 2.9586
_cell_angle_alpha 90.00
_cell_angle_beta 90.00
_cell_angle_gamma 120.00
_space_group_name_H-M_alt 'P 6/m m m'
_space_group_IT_number 191
_space_group_name_Hall '-P 6 2'
loop_
_atom_site_label
_atom_site_type_symbol
_atom_site_fract_x
_atom_site_fract_y
_atom_site_fract_z
Ce1 Ce 0.0000 0.3363 0.0000
Ga1 Ga 0.3333 0.6667 0.5000
Au1 Au 0.0000 0.0000 0.5000
```

- calculated volume (Å³ per cell) = 200.0
- ΔE_f (eV per atom) = -0.288
- crystal system = hexagonal


Computed, not measured: RbNaHgPb after structural relaxation at the PBE level of DFT.

Cell and atoms, written as CIF:
```
data_RbNaHgPb
_cell_length_a 9.125
_cell_length_b 5.252
_cell_length_c 7.165
_cell_angle_alpha 90.00
_cell_angle_beta 114.85
_cell_angle_gamma 90.00
_space_group_name_H-M_alt 'C 1 m 1'
_space_group_IT_number 8
_space_group_name_Hall 'C -2y'
loop_
_atom_site_label
_atom_site_type_symbol
_atom_site_fract_x
_atom_site_fract_y
_atom_site_fract_z
Rb1 Rb 0.000 0.000 0.000
Na1 Na 0.192 0.000 0.579
Hg1 Hg 0.483 0.000 0.450
Pb1 Pb 0.291 0.500 0.374
```

- energy above the lowest structure with this stoichiometry (meV/atom) = 0
- calculated volume (Å³ per cell) = 311.6
- ΔE_f (eV per atom) = -0.167
- crystal system = monoclinic


Computed, not measured: Na2LiTl after structural relaxation at the PBE level of DFT.

Cell and atoms, written as CIF:
```
data_Na2LiTl
_cell_length_a 4.521
_cell_length_b 4.521
_cell_length_c 5.203
_cell_angle_alpha 90.00
_cell_angle_beta 90.00
_cell_angle_gamma 90.00
_space_group_name_H-M_alt 'P 4/m m m'
_space_group_IT_number 123
_space_group_name_Hall '-P 4 2'
loop_
_atom_site_label
_atom_site_type_symbol
_atom_site_fract_x
_atom_site_fract_y
_atom_site_fract_z
Na1 Na 0.000 0.500 0.000
Li1 Li 0.000 0.000 0.500
Tl1 Tl 0.500 0.500 0.500
```

- energy above the lowest structure with this stoichiometry (meV/atom) = 29
- calculated volume (Å³ per cell) = 106.3
- ΔE_f (eV per atom) = -0.070
- crystal system = tetragonal


Computed, not measured: TaCuTc after structural relaxation at the PBE level of DFT.

Cell and atoms, written as CIF:
```
data_TaCuTc
_cell_length_a 4.4343
_cell_length_b 4.4343
_cell_length_c 2.6630
_cell_angle_alpha 90.00
_cell_angle_beta 90.00
_cell_angle_gamma 120.00
_space_group_name_H-M_alt 'P 3 m 1'
_space_group_IT_number 156
_space_group_name_Hall 'P 3 -2"'
loop_
_atom_site_label
_atom_site_type_symbol
_atom_site_fract_x
_atom_site_fract_y
_atom_site_fract_z
Ta1 Ta 0.0000 0.0000 0.0000
Cu1 Cu 0.6667 0.3333 0.6621
Tc1 Tc 0.3333 0.6667 0.3168
```

- energy above the lowest structure with this stoichiometry (meV/atom) = 53
- calculated volume (Å³ per cell) = 45.3
- ΔE_f (eV per atom) = 0.044
- crystal system = trigonal


Computed, not measured: Th2Pd8Pt after structural relaxation at the PBE level of DFT.

Cell and atoms, written as CIF:
```
data_Th2Pd8Pt
_cell_length_a 12.327
_cell_length_b 5.408
_cell_length_c 6.573
_cell_angle_alpha 90.00
_cell_angle_beta 110.01
_cell_angle_gamma 90.00
_space_group_name_H-M_alt 'C 1 2/m 1'
_space_group_IT_number 12
_space_group_name_Hall '-C 2y'
loop_
_atom_site_label
_atom_site_type_symbol
_atom_site_fract_x
_atom_site_fract_y
_atom_site_fract_z
Th1 Th 0.249 0.000 0.240
Pd1 Pd 0.068 0.242 0.873
Pd2 Pd 0.112 0.000 0.510
Pd3 Pd 0.149 0.500 0.265
Pt1 Pt 0.000 0.500 0.500
```

- calculated volume (Å³ per cell) = 411.7
- ΔE_f (eV per atom) = -0.595
- crystal system = monoclinic


Computed, not measured: La8Y3Th after structural relaxation at the PBE level of DFT.

Cell and atoms, written as CIF:
```
data_La8Y3Th
_cell_length_a 3.671
_cell_length_b 10.475
_cell_length_c 10.981
_cell_angle_alpha 90.00
_cell_angle_beta 90.00
_cell_angle_gamma 90.00
_space_group_name_H-M_alt 'P m m m'
_space_group_IT_number 47
_space_group_name_Hall '-P 2 2'
loop_
_atom_site_label
_atom_site_type_symbol
_atom_site_fract_x
_atom_site_fract_y
_atom_site_fract_z
La1 La 0.000 0.000 0.167
La2 La 0.000 0.500 0.173
La3 La 0.500 0.257 0.333
Y1 Y 0.000 0.000 0.500
Y2 Y 0.500 0.249 0.000
Th1 Th 0.000 0.500 0.500
```

- calculated volume (Å³ per cell) = 422.2
- ΔE_f (eV per atom) = 0.019
- crystal system = orthorhombic


Computed, not measured: Pr8Nd2Ho after structural relaxation at the PBE level of DFT.

Cell and atoms, written as CIF:
```
data_Pr8Nd2Ho
_cell_length_a 16.979
_cell_length_b 6.935
_cell_length_c 6.862
_cell_angle_alpha 90.00
_cell_angle_beta 101.21
_cell_angle_gamma 90.00
_space_group_name_H-M_alt 'C 1 2/m 1'
_space_group_IT_number 12
_space_group_name_Hall '-C 2y'
loop_
_atom_site_label
_atom_site_type_symbol
_atom_site_fract_x
_atom_site_fract_y
_atom_site_fract_z
Pr1 Pr 0.086 0.237 0.403
Pr2 Pr 0.093 0.000 0.917
Pr3 Pr 0.243 0.500 0.318
Nd1 Nd 0.194 0.500 0.808
Ho1 Ho 0.000 0.500 0.000
```

- calculated volume (Å³ per cell) = 792.6
- ΔE_f (eV per atom) = 0.150
- crystal system = monoclinic